## Ca2CoMoO6 (PBE with a Hubbard U)

Data for Ca2CoMoO6 after structural relaxation.

Computed properties:
SG   P2_1/c
Uncorrected energy   -0.48933 Ry/atom

Cell and atoms, written as POSCAR:
```
Ca2CoMoO6
1.0
5.373 0.000 0.000
0.000 5.503 0.000
-5.338 0.000 7.682
Ca Co Mo O
4 2 2 12
Cartesian
-0.044 0.255 1.908
-2.713 2.496 5.749
2.747 3.007 1.933
0.078 5.248 5.773
-2.669 0.000 3.841
0.000 2.752 0.000
2.686 0.000 0.000
0.017 2.752 3.841
-4.213 1.146 7.367
-1.544 1.605 3.526
-3.782 3.883 7.312
-1.112 4.372 3.471
-2.206 0.158 5.733
0.463 2.593 1.892
-0.429 2.910 5.790
2.240 5.345 1.949
1.147 1.131 4.211
3.816 1.620 0.370
1.579 3.898 4.156
4.248 4.357 0.315
```